# CaSc2N (GGA-PBE, relaxed)
# Space-group type   R-3m
# Formation energy from raw total energies   -760 meV per atom
# Magnetic moment   0.000 μB/f.u.
data_CaSc2N
_chemical_formula_sum 'Ca3 Sc6 N3'
_cell_length_a 3.298
_cell_length_b 3.298
_cell_length_c 26.407
_cell_angle_alpha 90.00
_cell_angle_beta 90.00
_cell_angle_gamma 120.00
_space_group_name_H-M_alt 'P 1'
_space_group_IT_number 1
loop_
_space_group_symop_operation_xyz
'x,y,z'
loop_
_atom_site_label
_atom_site_fract_x
_atom_site_fract_y
_atom_site_fract_z
_atom_site_occupancy
Ca1 0.000 0.000 0.000 1
Ca2 0.333 0.667 0.667 1
Ca3 0.667 0.333 0.333 1
Sc1 0.000 0.000 0.122 1
Sc2 0.000 0.000 0.878 1
Sc3 0.333 0.667 0.545 1
Sc4 0.333 0.667 0.788 1
Sc5 0.667 0.333 0.212 1
Sc6 0.667 0.333 0.455 1
N1 0.000 0.000 0.500 1
N2 0.333 0.667 0.167 1
N3 0.667 0.333 0.833 1

***

# Sb2OsCl (GGA-PBE, relaxed)
# Space-group type   Fm-3m
# Formation energy from raw total energies   577 meV per atom
# Magnetic moment   0.709 μB/f.u.
data_Sb2OsCl
_chemical_formula_sum 'Sb8 Os4 Cl4'
_cell_length_a 6.832
_cell_length_b 6.832
_cell_length_c 6.832
_cell_angle_alpha 90.00
_cell_angle_beta 90.00
_cell_angle_gamma 90.00
_space_group_name_H-M_alt 'P 1'
_space_group_IT_number 1
loop_
_space_group_symop_operation_xyz
'x,y,z'
loop_
_atom_site_label
_atom_site_fract_x
_atom_site_fract_y
_atom_site_fract_z
_atom_site_occupancy
Sb1 0.250 0.250 0.250 1
Sb2 0.250 0.250 0.750 1
Sb3 0.250 0.750 0.250 1
Sb4 0.250 0.750 0.750 1
Sb5 0.750 0.250 0.250 1
Sb6 0.750 0.250 0.750 1
Sb7 0.750 0.750 0.250 1
Sb8 0.750 0.750 0.750 1
Os1 0.000 0.000 0.000 1
Os2 0.000 0.500 0.500 1
Os3 0.500 0.000 0.500 1
Os4 0.500 0.500 0.000 1
Cl1 0.000 0.000 0.500 1
Cl2 0.000 0.500 0.000 1
Cl3 0.500 0.000 0.000 1
Cl4 0.500 0.500 0.500 1

***

# Si2Hg4Rh (GGA-PBE, relaxed)
# Space-group type   I4/mmm
# Formation energy from raw total energies   484 meV per atom
# Magnetic moment   0.000 μB/f.u.
data_Si2Hg4Rh
_chemical_formula_sum 'Si4 Hg8 Rh2'
_cell_length_a 5.384
_cell_length_b 5.384
_cell_length_c 12.699
_cell_angle_alpha 90.00
_cell_angle_beta 90.00
_cell_angle_gamma 90.00
_space_group_name_H-M_alt 'P 1'
_space_group_IT_number 1
loop_
_space_group_symop_operation_xyz
'x,y,z'
loop_
_atom_site_label
_atom_site_fract_x
_atom_site_fract_y
_atom_site_fract_z
_atom_site_occupancy
Si1 0.000 0.000 0.089 1
Si2 0.000 0.000 0.911 1
Si3 0.500 0.500 0.411 1
Si4 0.500 0.500 0.589 1
Hg1 0.000 0.000 0.294 1
Hg2 0.000 0.000 0.706 1
Hg3 0.000 0.500 0.000 1
Hg4 0.000 0.500 0.500 1
Hg5 0.500 0.000 0.000 1
Hg6 0.500 0.000 0.500 1
Hg7 0.500 0.500 0.206 1
Hg8 0.500 0.500 0.794 1
Rh1 0.000 0.000 0.500 1
Rh2 0.500 0.500 0.000 1

***

# InBi2Cl (GGA-PBE, relaxed)
# Space-group type   Fm-3m
# Formation energy from raw total energies   -114 meV per atom
# Magnetic moment   0.000 μB/f.u.
data_InBi2Cl
_chemical_formula_sum 'In4 Bi8 Cl4'
_cell_length_a 7.570
_cell_length_b 7.570
_cell_length_c 7.570
_cell_angle_alpha 90.00
_cell_angle_beta 90.00
_cell_angle_gamma 90.00
_space_group_name_H-M_alt 'P 1'
_space_group_IT_number 1
loop_
_space_group_symop_operation_xyz
'x,y,z'
loop_
_atom_site_label
_atom_site_fract_x
_atom_site_fract_y
_atom_site_fract_z
_atom_site_occupancy
In1 0.000 0.000 0.000 1
In2 0.000 0.500 0.500 1
In3 0.500 0.000 0.500 1
In4 0.500 0.500 0.000 1
Bi1 0.250 0.250 0.250 1
Bi2 0.250 0.250 0.750 1
Bi3 0.250 0.750 0.250 1
Bi4 0.250 0.750 0.750 1
Bi5 0.750 0.250 0.250 1
Bi6 0.750 0.250 0.750 1
Bi7 0.750 0.750 0.250 1
Bi8 0.750 0.750 0.750 1
Cl1 0.000 0.000 0.500 1
Cl2 0.000 0.500 0.000 1
Cl3 0.500 0.000 0.000 1
Cl4 0.500 0.500 0.500 1

***

# Cs3Pt2O4 (GGA-PBE, relaxed)
# Space-group type   Immm
# Formation energy from raw total energies   -848 meV per atom
# Magnetic moment   3.000 μB/f.u.
data_Cs3Pt2O4
_chemical_formula_sum 'Cs3 Pt2 O4'
_cell_length_a 8.187
_cell_length_b 8.187
_cell_length_c 8.187
_cell_angle_alpha 143.85
_cell_angle_beta 117.61
_cell_angle_gamma 74.28
_space_group_name_H-M_alt 'P 1'
_space_group_IT_number 1
loop_
_space_group_symop_operation_xyz
'x,y,z'
loop_
_atom_site_label
_atom_site_fract_x
_atom_site_fract_y
_atom_site_fract_z
_atom_site_occupancy
Cs1 0.000 0.000 0.000 1
Cs2 0.302 0.802 0.500 1
Cs3 0.698 0.198 0.500 1
Pt1 0.286 0.500 0.786 1
Pt2 0.714 0.500 0.214 1
O1 0.142 0.360 0.782 1
O2 0.422 0.640 0.782 1
O3 0.578 0.360 0.218 1
O4 0.858 0.640 0.218 1

***

# Li3PRh (GGA-PBE, relaxed)
# ΔE_f   0.24 eV per atom
# Space-group type   Pm-3m
# Magnetic moment   1.042 μB/f.u.
data_Li3PRh
_chemical_formula_sum 'Li3 P1 Rh1'
_cell_length_a 4.449
_cell_length_b 4.449
_cell_length_c 4.449
_cell_angle_alpha 90.00
_cell_angle_beta 90.00
_cell_angle_gamma 90.00
_space_group_name_H-M_alt 'P 1'
_space_group_IT_number 1
loop_
_space_group_symop_operation_xyz
'x,y,z'
loop_
_atom_site_label
_atom_site_fract_x
_atom_site_fract_y
_atom_site_fract_z
_atom_site_occupancy
Li1 0.000 0.000 0.500 1
Li2 0.000 0.500 0.000 1
Li3 0.500 0.000 0.000 1
P1 0.000 0.000 0.000 1
Rh1 0.500 0.500 0.500 1

***

# BaPBr2 (GGA-PBE, relaxed)
# Space-group type   Pmmm
# Formation energy from raw total energies   -724 meV per atom
# Magnetic moment   0.006 μB/f.u.
data_BaPBr2
_chemical_formula_sum 'Ba1 P1 Br2'
_cell_length_a 4.243
_cell_length_b 4.631
_cell_length_c 6.052
_cell_angle_alpha 90.00
_cell_angle_beta 90.00
_cell_angle_gamma 90.00
_space_group_name_H-M_alt 'P 1'
_space_group_IT_number 1
loop_
_space_group_symop_operation_xyz
'x,y,z'
loop_
_atom_site_label
_atom_site_fract_x
_atom_site_fract_y
_atom_site_fract_z
_atom_site_occupancy
Ba1 0.000 0.000 0.000 1
P1 0.500 0.000 0.500 1
Br1 0.000 0.500 0.500 1
Br2 0.500 0.500 0.000 1

***

# TbScTeSe (GGA-PBE, relaxed)
# Space-group type   R3m
# Formation energy from raw total energies   -1464 meV per atom
# Magnetic moment   0.000 μB/f.u.
data_TbScTeSe
_chemical_formula_sum 'Tb3 Sc3 Te3 Se3'
_cell_length_a 4.000
_cell_length_b 4.000
_cell_length_c 21.545
_cell_angle_alpha 90.00
_cell_angle_beta 90.00
_cell_angle_gamma 120.00
_space_group_name_H-M_alt 'P 1'
_space_group_IT_number 1
loop_
_space_group_symop_operation_xyz
'x,y,z'
loop_
_atom_site_label
_atom_site_fract_x
_atom_site_fract_y
_atom_site_fract_z
_atom_site_occupancy
Tb1 0.000 0.000 0.000 1
Tb2 0.333 0.667 0.667 1
Tb3 0.667 0.333 0.333 1
Sc1 0.000 0.000 0.188 1
Sc2 0.333 0.667 0.854 1
Sc3 0.667 0.333 0.521 1
Te1 0.000 0.000 0.430 1
Te2 0.333 0.667 0.097 1
Te3 0.667 0.333 0.764 1
Se1 0.000 0.000 0.590 1
Se2 0.333 0.667 0.257 1
Se3 0.667 0.333 0.924 1

***

# LiCaBCl (GGA-PBE, relaxed)
# Space-group type   Amm2
# Formation energy from raw total energies   -250 meV per atom
# Magnetic moment   0.854 μB/f.u.
data_LiCaBCl
_chemical_formula_sum 'Li2 Ca2 B2 Cl2'
_cell_length_a 3.588
_cell_length_b 3.399
_cell_length_c 13.823
_cell_angle_alpha 90.00
_cell_angle_beta 90.00
_cell_angle_gamma 90.00
_space_group_name_H-M_alt 'P 1'
_space_group_IT_number 1
loop_
_space_group_symop_operation_xyz
'x,y,z'
loop_
_atom_site_label
_atom_site_fract_x
_atom_site_fract_y
_atom_site_fract_z
_atom_site_occupancy
Li1 0.000 0.000 0.000 1
Li2 0.000 0.500 0.500 1
Ca1 0.000 0.000 0.718 1
Ca2 0.000 0.500 0.218 1
B1 0.500 0.000 0.127 1
B2 0.500 0.500 0.627 1
Cl1 0.000 0.000 0.379 1
Cl2 0.000 0.500 0.879 1

***

# Ti2MnGeSe (GGA-PBE, relaxed)
# Space-group type   P4/mmm
# Formation energy from raw total energies   530 meV per atom
# Magnetic moment   3.150 μB/f.u.
data_Ti2MnGeSe
_chemical_formula_sum 'Ti2 Mn1 Ge1 Se1'
_cell_length_a 4.656
_cell_length_b 4.656
_cell_length_c 5.110
_cell_angle_alpha 90.00
_cell_angle_beta 90.00
_cell_angle_gamma 90.00
_space_group_name_H-M_alt 'P 1'
_space_group_IT_number 1
loop_
_space_group_symop_operation_xyz
'x,y,z'
loop_
_atom_site_label
_atom_site_fract_x
_atom_site_fract_y
_atom_site_fract_z
_atom_site_occupancy
Ti1 0.000 0.500 0.000 1
Ti2 0.500 0.000 0.000 1
Mn1 0.000 0.000 0.500 1
Ge1 0.500 0.500 0.500 1
Se1 0.500 0.500 0.000 1

***

# CdRuAu2 (GGA-PBE, relaxed)
# ΔE_f   0.22 eV per atom
# Space-group type   P2/m
# Magnetic moment   1.285 μB/f.u.
data_CdRuAu2
_chemical_formula_sum 'Cd1 Ru1 Au2'
_cell_length_a 2.878
_cell_length_b 4.077
_cell_length_c 5.993
_cell_angle_alpha 90.00
_cell_angle_beta 90.38
_cell_angle_gamma 90.00
_space_group_name_H-M_alt 'P 1'
_space_group_IT_number 1
loop_
_space_group_symop_operation_xyz
'x,y,z'
loop_
_atom_site_label
_atom_site_fract_x
_atom_site_fract_y
_atom_site_fract_z
_atom_site_occupancy
Cd1 0.000 0.000 0.000 1
Ru1 0.000 0.000 0.500 1
Au1 0.499 0.500 0.263 1
Au2 0.501 0.500 0.737 1

***

# NbTlI2O8 (GGA-PBE, relaxed)
# Space-group type   P-3m1
# Formation energy from raw total energies   -902 meV per atom
# Magnetic moment   0.000 μB/f.u.
data_NbTlI2O8
_chemical_formula_sum 'Nb1 Tl1 I2 O8'
_cell_length_a 6.250
_cell_length_b 6.250
_cell_length_c 7.609
_cell_angle_alpha 90.00
_cell_angle_beta 90.00
_cell_angle_gamma 120.00
_space_group_name_H-M_alt 'P 1'
_space_group_IT_number 1
loop_
_space_group_symop_operation_xyz
'x,y,z'
loop_
_atom_site_label
_atom_site_fract_x
_atom_site_fract_y
_atom_site_fract_z
_atom_site_occupancy
Nb1 0.000 0.000 0.000 1
Tl1 0.000 0.000 0.500 1
I1 0.333 0.667 0.832 1
I2 0.667 0.333 0.168 1
O1 0.148 0.297 0.840 1
O2 0.148 0.852 0.840 1
O3 0.297 0.148 0.160 1
O4 0.333 0.667 0.598 1
O5 0.667 0.333 0.402 1
O6 0.703 0.852 0.840 1
O7 0.852 0.148 0.160 1
O8 0.852 0.703 0.160 1

***

Look up the magnetic moment of the tenth one. 3.150 μB/f.u.

***

Among the records above, which one has the highest magnetic moment? Ti2MnGeSe